## InNiCl2 (GGA-PBE)

Data for InNiCl2 after structural relaxation.

Fermi-level density of states (states/eV/cell): 2.26
Magnetic moment (μB per formula unit): 0.000
Energy above the most stable polymorph in this dataset (meV per atom): 305
Formation energy (no corrections) (eV/f.u.): -0.7

abc: 3.7745 3.7745 7.6011
angles: 90.00 90.00 90.00
Last column: nearest neighbours and their distance in Å.
Space group P4mm (No. 99)
Inequivalent atoms, fractional coordinates:
In 0.0000 0.0000 0.0000 (multiplicity 1)  1 Cl 2.43, 4 Ni 2.68
Ni 0.5000 0.5000 0.9752 (multiplicity 1)  1 Cl 2.06
Cl 0.0000 0.0000 0.3203 (multiplicity 1)  1 In 2.43
Cl 0.5000 0.5000 0.7048 (multiplicity 1)  1 Ni 2.06

## MgP2HO (GGA-PBE)

Data for MgP2HO after structural relaxation.

Fermi-level density of states (states/eV/cell): 2.13
Magnetic moment (μB per formula unit): 0.000
Energy above the most stable polymorph in this dataset (meV per atom): 0

abc: 3.2629 3.2629 6.3061
angles: 90.00 90.00 90.00
Last column: nearest neighbours and their distance in Å.
Space group P4/mmm (No. 123)
Inequivalent atoms, fractional coordinates:
Mg 0.0000 0.0000 0.0000 (multiplicity 1)  4 O 2.31
P 0.0000 0.5000 0.5000 (multiplicity 2)  2 H 1.63
H 0.5000 0.5000 0.5000 (multiplicity 1)  4 P 1.63
O 0.5000 0.5000 0.0000 (multiplicity 1)  4 Mg 2.31

## La2NdHo2Er (GGA-PBE)

Data for La2NdHo2Er after structural relaxation.

Fermi-level density of states (states/eV/cell): 17.29
Formation enthalpy at 0 K (meV per atom): 72
Magnetic moment (μB per formula unit): 0.000

abc: 5.6574 10.3806 6.9017
angles: 90.00 90.00 90.00
Last column: nearest neighbours and their distance in Å.
Space group Pmc2_1 (No. 26)
Inequivalent atoms, fractional coordinates:
La 0.0000 0.0266 0.0000 (multiplicity 2)  5 Ho 3.46-3.80, 4 La 3.49-3.84, 2 Nd 3.58-3.83
La 0.5000 0.2054 0.2640 (multiplicity 2)  5 Ho 3.46-3.61, 2 Er 3.48-3.76, 2 La 3.84
Nd 0.0000 0.3061 0.6385 (multiplicity 2)  5 Ho 3.26-3.58, 1 La 3.58
Ho 0.0000 0.3796 0.1448 (multiplicity 2)  3 Nd 3.26-3.58, 4 Er 3.46-3.65, 2 La 3.46
Ho 0.5000 0.1284 0.7545 (multiplicity 2)  7 La 3.46-3.70, 2 Nd 3.47, 1 Er 3.67
Er 0.5000 0.4697 0.8910 (multiplicity 2)  5 Ho 3.46-3.67, 2 La 3.48-3.76, 2 Er 3.51, 2 Nd 3.73

## BeCd3F (GGA-PBE)

Data for BeCd3F after structural relaxation.

Fermi-level density of states (states/eV/cell): 2.19
Magnetic moment (μB per formula unit): 0.000
Energy above the most stable polymorph in this dataset (meV per atom): 0
Formation energy (no corrections) (eV/f.u.): -1.1

abc: 4.7404 4.7404 4.7404
angles: 90.00 90.00 90.00
Last column: nearest neighbours and their distance in Å.
Space group Pm-3m (No. 221)
Inequivalent atoms, fractional coordinates:
Be 0.0000 0.0000 0.0000 (multiplicity 1)  6 Cd 2.37
Cd 0.0000 0.0000 0.5000 (multiplicity 3)  2 Be 2.37
F 0.5000 0.5000 0.5000 (multiplicity 1)  12 Cd 3.35

## AcSm2Mg9 (GGA-PBE)

Data for AcSm2Mg9 after structural relaxation.

Fermi-level density of states (states/eV/cell): 36.32
Formation enthalpy at 0 K (meV per atom): -83
Magnetic moment (μB per formula unit): 0.001

abc: 6.1428 6.1428 29.8421
angles: 90.00 90.00 120.00
Last column: nearest neighbours and their distance in Å.
Space group R-3m (No. 166, hexagonal axes)
Inequivalent atoms, fractional coordinates:
Ac 0.0000 0.0000 0.0000 (multiplicity 3)  6 Mg 3.55
Sm 0.0000 0.0000 0.1457 (multiplicity 6)  12 Mg 3.54-3.60, 3 Sm 3.76
Mg 0.0000 0.0000 0.3342 (multiplicity 6)  6 Mg 3.08-3.09
Mg 0.0000 0.0000 0.5000 (multiplicity 3)  6 Mg 3.04
Mg 0.0044 0.5022 0.9154 (multiplicity 18)  7 Mg 3.03-3.11

## Nd2AlCu16 (GGA-PBE)

Data for Nd2AlCu16 after structural relaxation.

Fermi-level density of states (states/eV/cell): 30.08
Formation enthalpy at 0 K (meV per atom): -135
Magnetic moment (μB per formula unit): 0.000

abc: 8.6408 8.6408 12.6688
angles: 90.00 90.00 120.00
Last column: nearest neighbours and their distance in Å.
Space group R3m (No. 160, hexagonal axes)
Inequivalent atoms, fractional coordinates:
Nd 0.0000 0.0000 0.0000 (multiplicity 3)  19 Cu 3.07-3.33
Nd 0.0000 0.0000 0.3077 (multiplicity 3)  15 Cu 3.04-3.30, 1 Al 3.23
Al 0.0000 0.0000 0.5624 (multiplicity 3)  7 Cu 2.47-2.69
Cu 0.0000 0.0000 0.7574 (multiplicity 3)  1 Al 2.47, 6 Cu 2.66-2.68
Cu 0.9996 0.2926 0.6613 (multiplicity 18)  8 Cu 2.48-2.66
Cu 0.0015 0.5007 0.1610 (multiplicity 9)  9 Cu 2.48-2.66, 1 Al 2.63
Cu 0.0024 0.5012 0.5056 (multiplicity 9)  9 Cu 2.49-2.68
Cu 0.1678 0.3356 0.1468 (multiplicity 9)  8 Cu 2.49-2.63, 1 Al 2.69